! IrPt3S | Alexandria | PBE-GGA | optimized geometry; values from VASP
! Total magnetic moment, μB per formula unit: 0.00
! SG: Pm-3m
! Relative energy among the computed polymorphs, meV/atom: 0
! E_form (uncorrected), meV/atom: 793
! DFT total energy, eV per cell: -27.1
&SYSTEM
  ibrav = 0, nat = 5, ntyp = 3
/
ATOMIC_SPECIES
S 32.06 S.upf
Ir 192.22 Ir.upf
Pt 195.08 Pt.upf
ATOMIC_POSITIONS crystal
S 0.000 0.000 0.000
Ir 0.500 0.500 0.500
Pt 0.000 0.500 0.000
Pt 0.000 0.000 0.500
Pt 0.500 0.000 0.000
CELL_PARAMETERS angstrom
-3.403 0.119 2.839
2.403 -2.244 2.975
1.516 3.822 1.658

! Ir3PtS | Alexandria | PBE-GGA | optimized geometry; values from VASP
! Total magnetic moment, μB per formula unit: 0.00
! SG: Pm-3m
! Relative energy among the computed polymorphs, meV/atom: 0
! E_form (uncorrected), meV/atom: 907
! DFT total energy, eV per cell: -32.2
&SYSTEM
  ibrav = 0, nat = 5, ntyp = 3
/
ATOMIC_SPECIES
S 32.06 S.upf
Ir 192.22 Ir.upf
Pt 195.08 Pt.upf
ATOMIC_POSITIONS crystal
S 0.000 0.000 0.000
Ir 0.000 0.500 0.000
Ir 0.000 0.000 0.500
Ir 0.500 0.000 0.000
Pt 0.500 0.500 0.500
CELL_PARAMETERS angstrom
4.368 0.000 0.000
0.000 4.368 0.000
0.000 0.000 4.368

! IrPt3S | Alexandria | PBE-GGA | optimized geometry; values from VASP
! Total magnetic moment, μB per formula unit: 0.00
! SG: Pm-3m
! Relative energy among the computed polymorphs, meV/atom: 802
! E_form (uncorrected), meV/atom: 1595
! DFT total energy, eV per cell: -23.1
&SYSTEM
  ibrav = 0, nat = 5, ntyp = 3
/
ATOMIC_SPECIES
S 32.06 S.upf
Ir 192.22 Ir.upf
Pt 195.08 Pt.upf
ATOMIC_POSITIONS crystal
S 0.500 0.500 0.500
Ir 0.000 0.000 0.000
Pt 0.000 0.500 0.000
Pt 0.000 0.000 0.500
Pt 0.500 0.000 0.000
CELL_PARAMETERS angstrom
4.832 0.000 0.000
0.000 4.832 0.000
0.000 0.000 4.832

! Si2IrPtS | Alexandria | PBE-GGA | optimized geometry; values from VASP
! Total magnetic moment, μB per formula unit: 0.00
! SG: P4/mmm
! E_form (uncorrected), meV/atom: 880
! DFT total energy, eV per cell: -25.5
&SYSTEM
  ibrav = 0, nat = 5, ntyp = 4
/
ATOMIC_SPECIES
S 32.06 S.upf
Ir 192.22 Ir.upf
Si 28.09 Si.upf
Pt 195.08 Pt.upf
ATOMIC_POSITIONS crystal
S 0.000 0.000 0.000
Ir 0.000 0.500 0.000
Si 0.000 0.000 0.500
Si 0.500 0.000 0.000
Pt 0.500 0.500 0.500
CELL_PARAMETERS angstrom
4.400 0.000 0.000
0.000 4.385 0.000
0.000 0.000 4.400

! Th4IrPtS2 | Alexandria | PBE-GGA | optimized geometry; values from VASP
! Total magnetic moment, μB per formula unit: 0.00
! SG: P2/m
! E_form (uncorrected), meV/atom: -1401
! DFT total energy, eV per cell: -64.0
&SYSTEM
  ibrav = 0, nat = 8, ntyp = 4
/
ATOMIC_SPECIES
Th 232.04 Th.upf
Ir 192.22 Ir.upf
Pt 195.08 Pt.upf
S 32.06 S.upf
ATOMIC_POSITIONS crystal
Th 0.000 0.737 0.759
Th 0.000 0.263 0.241
Th 0.500 0.740 0.247
Th 0.500 0.260 0.753
Ir 0.500 0.500 0.000
Pt 0.000 0.500 0.500
S 0.000 0.000 0.000
S 0.500 0.000 0.500
CELL_PARAMETERS angstrom
4.106 0.000 0.000
0.000 7.440 -0.280
0.000 2.491 6.635

! Th6Ir3PtS2 | Alexandria | PBE-GGA | optimized geometry; values from VASP
! Total magnetic moment, μB per formula unit: 0.00
! SG: C2/m
! E_form (uncorrected), meV/atom: -1274
! DFT total energy, eV per cell: -100.7
&SYSTEM
  ibrav = 0, nat = 12, ntyp = 4
/
ATOMIC_SPECIES
Th 232.04 Th.upf
Ir 192.22 Ir.upf
Pt 195.08 Pt.upf
S 32.06 S.upf
ATOMIC_POSITIONS crystal
Th 0.331 0.921 0.662
Th 0.661 0.600 0.322
Th 0.669 0.079 0.338
Th 0.996 0.254 0.993
Th 0.004 0.746 0.007
Th 0.339 0.400 0.678
Ir 0.500 0.500 0.000
Ir 0.832 0.161 0.664
Ir 0.168 0.839 0.336
Pt 0.500 0.000 0.000
S 0.827 0.651 0.654
S 0.173 0.349 0.346
CELL_PARAMETERS angstrom
4.088 0.000 0.000
0.000 8.467 0.184
-2.044 -2.564 8.841

! UIr3Pt4S12 | Alexandria | PBE-GGA | optimized geometry; values from VASP
! Total magnetic moment, μB per formula unit: 0.65
! SG: R32
! E_form (uncorrected), meV/atom: -152
! DFT total energy, eV per cell: -114.6
&SYSTEM
  ibrav = 0, nat = 20, ntyp = 4
/
ATOMIC_SPECIES
U 238.03 U.upf
Ir 192.22 Ir.upf
Pt 195.08 Pt.upf
S 32.06 S.upf
ATOMIC_POSITIONS crystal
U 0.000 0.000 0.000
Ir 0.582 0.418 0.000
Ir 0.418 0.000 0.582
Ir 0.000 0.582 0.418
Pt 0.900 0.100 0.500
Pt 0.100 0.500 0.900
Pt 0.500 0.900 0.100
Pt 0.500 0.500 0.500
S 0.500 0.324 0.676
S 0.917 0.500 0.083
S 0.083 0.917 0.500
S 0.500 0.083 0.917
S 0.313 0.993 0.256
S 0.256 0.313 0.993
S 0.993 0.256 0.313
S 0.687 0.744 0.007
S 0.007 0.687 0.744
S 0.744 0.007 0.687
S 0.676 0.500 0.324
S 0.324 0.676 0.500
CELL_PARAMETERS angstrom
-7.725 -1.046 0.028
2.135 -0.651 -7.469
2.940 -6.296 3.534

! Y2IrPtS | Alexandria | PBE-GGA | optimized geometry; values from VASP
! Total magnetic moment, μB per formula unit: 0.00
! SG: P4/mmm
! E_form (uncorrected), meV/atom: -347
! DFT total energy, eV per cell: -33.7
&SYSTEM
  ibrav = 0, nat = 5, ntyp = 4
/
ATOMIC_SPECIES
Y 88.91 Y.upf
S 32.06 S.upf
Ir 192.22 Ir.upf
Pt 195.08 Pt.upf
ATOMIC_POSITIONS crystal
Y 0.000 0.000 0.500
Y 0.500 0.000 0.000
S 0.000 0.500 0.000
Ir 0.000 0.000 0.000
Pt 0.500 0.500 0.500
CELL_PARAMETERS angstrom
-0.504 -5.333 -0.679
4.201 -0.503 0.829
-1.105 -0.565 5.255